# CaAlVO4

CaAlVO4 after structural relaxation (GGA+U, Alexandria).

Computed properties:
Raw total energy: -7.295 eV/atom
Density of states at the Fermi level: 0.00 states/eV per cell

Lattice parameters (Å, degrees): 5.570 5.570 6.431 90.00 90.00 113.42
Fractional positions:
Ca  0.000  0.000  0.000
Ca  0.000  0.000  0.500
Al  0.355  0.645  0.750
Al  0.645  0.355  0.250
V  0.351  0.649  0.250
V  0.649  0.351  0.750
O  0.254  0.746  0.517
O  0.254  0.746  0.983
O  0.274  0.295  0.750
O  0.295  0.274  0.250
O  0.705  0.726  0.750
O  0.726  0.705  0.250
O  0.746  0.254  0.017
O  0.746  0.254  0.483